1.
Material: LiMnNiP2
Method: DFT, GGA-PBE
State: relaxed

a = 5.3780 Å, b = 5.3780 Å, c = 5.3780 Å
α = 139.42°, β = 139.42°, γ = 58.73°
Last column: nearest neighbours and their distance in Å.
Atoms (fractional coordinates):
Li1 0.0000 0.0000 0.0000  8 P 2.87, 4 Mn 2.99, 4 Ni 2.99
Mn1 0.7500 0.2500 0.5000  4 P 2.23
Ni1 0.2500 0.7500 0.5000  4 P 2.23
P1 0.3801 0.3801 0.0000  2 Mn 2.23, 2 Ni 2.23, 1 P 2.25
P2 0.6199 0.6199 0.0000  2 Mn 2.23, 2 Ni 2.23, 1 P 2.25

=====

2.
Material: LiMnNiPd
Method: DFT, GGA-PBE
State: relaxed

a = 4.2008 Å, b = 4.2008 Å, c = 4.2008 Å
α = 60.00°, β = 60.00°, γ = 60.00°
Last column: nearest neighbours and their distance in Å.
Atoms (fractional coordinates):
Li1 0.0000 0.0000 0.0000  4 Pd 2.57, 4 Ni 2.57
Mn1 0.5000 0.5000 0.5000  4 Pd 2.57, 4 Ni 2.57
Ni1 0.2500 0.2500 0.2500  4 Mn 2.57, 4 Li 2.57
Pd1 0.7500 0.7500 0.7500  4 Mn 2.57, 4 Li 2.57

=====

3.
Material: Li3Pr2MnNi12
Method: DFT, GGA-PBE
State: relaxed

a = 9.3065 Å, b = 9.3065 Å, c = 9.3065 Å
α = 37.11°, β = 37.11°, γ = 37.11°
Last column: nearest neighbours and their distance in Å.
Atoms (fractional coordinates):
Li1 0.0000 0.5000 0.5000  6 Ni 2.30-2.51
Li2 0.5000 0.0000 0.5000  6 Ni 2.30-2.51
Li3 0.5000 0.5000 0.0000  6 Ni 2.30-2.51
Pr1 0.1495 0.1495 0.1495  12 Ni 2.93-3.28
Pr2 0.8505 0.8505 0.8505  12 Ni 2.93-3.28
Mn1 0.5000 0.5000 0.5000  6 Ni 2.34
Ni1 0.0823 0.0823 0.6880  2 Li 2.30, 4 Ni 2.34-2.36
Ni2 0.0823 0.6880 0.0823  2 Li 2.30, 4 Ni 2.34-2.36
Ni3 0.1467 0.5709 0.5709  1 Mn 2.34, 4 Ni 2.36-2.51, 1 Li 2.51
Ni4 0.3120 0.9177 0.9177  2 Li 2.30, 4 Ni 2.34-2.36
Ni5 0.4291 0.4291 0.8533  1 Mn 2.34, 4 Ni 2.36-2.51, 1 Li 2.51
Ni6 0.4291 0.8533 0.4291  1 Mn 2.34, 4 Ni 2.36-2.51, 1 Li 2.51
Ni7 0.5709 0.1467 0.5709  1 Mn 2.34, 4 Ni 2.36-2.51, 1 Li 2.51
Ni8 0.5709 0.5709 0.1467  1 Mn 2.34, 4 Ni 2.36-2.51, 1 Li 2.51
Ni9 0.6880 0.0823 0.0823  2 Li 2.30, 4 Ni 2.34-2.36
Ni10 0.8533 0.4291 0.4291  1 Mn 2.34, 4 Ni 2.36-2.51, 1 Li 2.51
Ni11 0.9177 0.3120 0.9177  2 Li 2.30, 4 Ni 2.34-2.36
Ni12 0.9177 0.9177 0.3120  2 Li 2.30, 4 Ni 2.34-2.36

=====

4.
Material: LiMn2ReNi
Method: DFT, GGA-PBE
State: relaxed

a = 3.9411 Å, b = 3.9411 Å, c = 3.7707 Å
α = 90.00°, β = 90.00°, γ = 90.00°
Last column: nearest neighbours and their distance in Å.
Atoms (fractional coordinates):
Li1 0.0000 0.0000 0.0000  2 Ni 1.89, 4 Mn 1.97
Mn1 0.0000 0.5000 0.0000  2 Li 1.97
Mn2 0.5000 0.0000 0.0000  2 Li 1.97
Re1 0.5000 0.5000 0.5000  8 Mn 2.73, 4 Ni 2.79
Ni1 0.0000 0.0000 0.5000  2 Li 1.89

=====

5.
Material: Li2MnNiSb
Method: DFT, GGA-PBE
State: relaxed

a = 4.4691 Å, b = 4.4691 Å, c = 4.6953 Å
α = 90.00°, β = 90.00°, γ = 90.00°
Last column: nearest neighbours and their distance in Å.
Atoms (fractional coordinates):
Li1 0.0000 0.5000 0.0000  2 Ni 2.23
Li2 0.5000 0.0000 0.0000  2 Ni 2.23
Mn1 0.0000 0.0000 0.5000  4 Sb 3.16, 8 Li 3.24
Ni1 0.5000 0.5000 0.0000  4 Li 2.23, 2 Sb 2.35
Sb1 0.5000 0.5000 0.5000  2 Ni 2.35

=====

6.
Material: LiMnNiSb
Method: DFT, GGA-PBE
State: relaxed

a = 4.3679 Å, b = 4.3679 Å, c = 4.3679 Å
α = 60.00°, β = 60.00°, γ = 60.00°
Last column: nearest neighbours and their distance in Å.
Atoms (fractional coordinates):
Li1 0.0000 0.0000 0.0000  4 Mn 2.67, 4 Sb 2.67
Mn1 0.7500 0.7500 0.7500  4 Li 2.67, 4 Ni 2.67
Ni1 0.5000 0.5000 0.5000  4 Mn 2.67, 4 Sb 2.67
Sb1 0.2500 0.2500 0.2500  4 Li 2.67, 4 Ni 2.67

=====

7.
Material: LiMnNiSn2
Method: DFT, GGA-PBE
State: relaxed

a = 4.7971 Å, b = 4.7971 Å, c = 4.0708 Å
α = 90.00°, β = 90.00°, γ = 90.00°
Last column: nearest neighbours and their distance in Å.
Atoms (fractional coordinates):
Li1 0.0000 0.0000 0.0000  2 Ni 2.04
Mn1 0.5000 0.5000 0.5000  8 Sn 3.15, 4 Ni 3.39
Ni1 0.0000 0.0000 0.5000  2 Li 2.04
Sn1 0.0000 0.5000 0.0000  2 Li 2.40
Sn2 0.5000 0.0000 0.0000  2 Li 2.40

=====

8.
Material: LiTmMnNi
Method: DFT, GGA-PBE
State: relaxed

a = 4.5208 Å, b = 4.5208 Å, c = 4.5208 Å
α = 60.00°, β = 60.00°, γ = 60.00°
Last column: nearest neighbours and their distance in Å.
Atoms (fractional coordinates):
Li1 0.0000 0.0000 0.0000  4 Mn 2.77, 4 Tm 2.77
Tm1 0.7500 0.7500 0.7500  4 Ni 2.77, 4 Li 2.77
Mn1 0.2500 0.2500 0.2500  4 Ni 2.77, 4 Li 2.77
Ni1 0.5000 0.5000 0.5000  4 Mn 2.77, 4 Tm 2.77

=====

9.
Material: Li3Y2MnNi12
Method: DFT, GGA-PBE
State: relaxed

a = 11.7022 Å, b = 11.7022 Å, c = 11.7022 Å
α = 25.24°, β = 25.24°, γ = 25.24°
Last column: nearest neighbours and their distance in Å.
Atoms (fractional coordinates):
Li1 0.0000 0.5000 0.5000  4 Ni 2.46, 4 Li 2.56
Li2 0.5000 0.0000 0.5000  4 Ni 2.46, 4 Li 2.56
Li3 0.5000 0.5000 0.0000  4 Ni 2.46, 4 Li 2.56
Y1 0.1421 0.1421 0.1421  6 Ni 2.77, 3 Mn 3.07
Y2 0.8579 0.8579 0.8579  6 Ni 2.77, 3 Mn 3.07
Mn1 0.5000 0.5000 0.5000  6 Ni 2.40
Ni1 0.1002 0.1002 0.6293  4 Ni 2.38-2.41, 2 Li 2.46
Ni2 0.1002 0.6293 0.1002  4 Ni 2.38-2.41, 2 Li 2.46
Ni3 0.1135 0.6091 0.6091  6 Ni 2.38-2.58, 1 Mn 2.40
Ni4 0.3707 0.8998 0.8998  4 Ni 2.38-2.41, 2 Li 2.46
Ni5 0.3909 0.3909 0.8865  6 Ni 2.38-2.58, 1 Mn 2.40
Ni6 0.3909 0.8865 0.3909  6 Ni 2.38-2.58, 1 Mn 2.40
Ni7 0.6091 0.1135 0.6091  6 Ni 2.38-2.58, 1 Mn 2.40
Ni8 0.6091 0.6091 0.1135  6 Ni 2.38-2.58, 1 Mn 2.40
Ni9 0.6293 0.1002 0.1002  4 Ni 2.38-2.41, 2 Li 2.46
Ni10 0.8865 0.3909 0.3909  6 Ni 2.38-2.58, 1 Mn 2.40
Ni11 0.8998 0.3707 0.8998  4 Ni 2.38-2.41, 2 Li 2.46
Ni12 0.8998 0.8998 0.3707  4 Ni 2.38-2.41, 2 Li 2.46

=====

10.
Material: LiMnZnNi
Method: DFT, GGA-PBE
State: relaxed

a = 4.1421 Å, b = 4.1421 Å, c = 4.1421 Å
α = 60.00°, β = 60.00°, γ = 60.00°
Last column: nearest neighbours and their distance in Å.
Atoms (fractional coordinates):
Li1 0.0000 0.0000 0.0000  4 Zn 2.54, 4 Mn 2.54
Mn1 0.2500 0.2500 0.2500  4 Li 2.54, 4 Ni 2.54
Zn1 0.7500 0.7500 0.7500  4 Ni 2.54, 4 Li 2.54
Ni1 0.5000 0.5000 0.5000  4 Zn 2.54, 4 Mn 2.54

=====

11.
Material: LiMnZnNi2
Method: DFT, GGA-PBE
State: relaxed

a = 3.8867 Å, b = 3.8867 Å, c = 4.0522 Å
α = 90.00°, β = 90.00°, γ = 90.00°
Last column: nearest neighbours and their distance in Å.
Atoms (fractional coordinates):
Li1 0.0000 0.0000 0.0000  4 Ni 1.94, 2 Zn 2.03
Mn1 0.5000 0.5000 0.5000  4 Zn 2.75, 8 Ni 2.81
Zn1 0.0000 0.0000 0.5000  2 Li 2.03
Ni1 0.0000 0.5000 0.0000  2 Li 1.94
Ni2 0.5000 0.0000 0.0000  2 Li 1.94

=====

no.,total energy (eV/atom)
1,-6.1253
2,-5.6635
3,-5.0281
4,-6.7203
5,-4.3540
6,-5.4178
7,-4.4012
8,-5.3490
9,-5.2992
10,-4.5782
11,-3.8747